[1]
Compound: CeIr3
Source: Alexandria
Functional: GGA-PBEsol
Structure: optimized geometry

Output
Density of states at the Fermi level ... 0.95 states/eV per atom
VASP energy ... -229.83 eV for the cell shown
Volume ... 69.8 Å³/f.u.
Energy of formation ... -54.0 kJ per mole of atoms
Crystal system ... hexagonal

a = 5.2637 Å, b = 5.2637 Å, c = 17.4481 Å
α = 90.00°, β = 90.00°, γ = 120.00°
Space group P6_3/mmc (No. 194)
Inequivalent atoms, fractional coordinates:
Ce1 0.3333 0.6667 0.0417 [4 per cell]
Ce2 0.3333 0.6667 0.2500 [2 per cell]
Ir1 0.0000 0.0000 0.0000 [2 per cell]
Ir2 0.0000 0.0000 0.2500 [2 per cell]
Ir3 0.1676 0.3353 0.6262 [12 per cell]
Ir4 0.3333 0.6667 0.7500 [2 per cell]


[2]
Compound: Fe2SbSe
Source: Alexandria
Functional: GGA-PBEsol
Structure: optimized geometry

Output
Density of states at the Fermi level ... 0.92 states/eV per atom
E_form (uncorrected) ... 663 meV per atom
VASP energy ... -94.73 eV for the cell shown
Volume ... 66.3 Å³/f.u.
Energy relative to the lowest polymorph listed for this composition ... 0.6175 eV/atom
Crystal system ... cubic

a = 6.423 Å, b = 6.423 Å, c = 6.423 Å
α = 90.00°, β = 90.00°, γ = 90.00°
Space group F-43m (No. 216)
Inequivalent atoms, fractional coordinates:
Fe1 0.000 0.000 0.000 [4 per cell]
Fe2 0.250 0.250 0.250 [4 per cell]
Sb1 0.000 0.000 0.500 [4 per cell]
Se1 0.250 0.250 0.750 [4 per cell]